This record from Alexandria via LeMat-Bulk describes a relaxed HfZn2Rh2 crystal. The functional is PBE.

Computed properties:
- SG = C2/m, No. 12
- DOS(E_F) (states/eV/cell) = 1.986
- mass density (g/cm³) = 11.03
- energy of formation (eV/atom) = -0.58

POSCAR file:
```
HfZn2Rh2
1.0
3.828 -2.151 0.000
3.828 2.151 0.000
-2.774 0.000 4.709
Hf Zn Rh
1 2 2
direct
0.000 0.000 0.000 Hf
0.200 0.200 0.616 Zn
0.800 0.800 0.384 Zn
0.404 0.404 0.200 Rh
0.596 0.596 0.800 Rh
```

***

This record from Alexandria via LeMat-Bulk describes a relaxed Hf2Zn2Rh3 crystal. The functional is PBE.

Computed properties:
- SG = C2/m, No. 12
- DOS(E_F) (states/eV/cell) = 2.732
- mass density (g/cm³) = 11.53
- energy of formation (eV/atom) = -0.73

POSCAR file:
```
Hf2Zn2Rh3
1.0
3.918 -2.267 0.000
3.918 2.267 0.000
-3.696 0.000 6.453
Hf Zn Rh
2 2 3
direct
0.245 0.245 0.164 Hf
0.755 0.755 0.836 Hf
0.309 0.309 0.599 Zn
0.691 0.691 0.401 Zn
0.043 0.043 0.739 Rh
0.500 0.500 0.000 Rh
0.957 0.957 0.261 Rh
```

***

This record from Alexandria via LeMat-Bulk describes a relaxed HfZn2Rh3 crystal. The functional is PBE.

Computed properties:
- SG = P-3m1, No. 164
- DOS(E_F) (states/eV/cell) = 3.050
- mass density (g/cm³) = 11.48
- energy of formation (eV/atom) = -0.72

POSCAR file:
```
HfZn2Rh3
1.0
4.403 0.000 0.000
-2.202 3.813 0.000
0.000 0.000 5.322
Hf Zn Rh
1 2 3
direct
0.000 0.000 0.000 Hf
0.333 0.667 0.671 Zn
0.667 0.333 0.329 Zn
0.000 0.000 0.500 Rh
0.333 0.667 0.181 Rh
0.667 0.333 0.819 Rh
```

***

This record from Alexandria via LeMat-Bulk describes a relaxed HfZn3Rh4 crystal. The functional is PBE.

Computed properties:
- SG = R-3m, No. 166
- DOS(E_F) (states/eV/cell) = 3.243
- mass density (g/cm³) = 11.14
- energy of formation (eV/atom) = -0.65

POSCAR file:
```
HfZn3Rh4
1.0
2.184 1.261 7.091
-2.184 1.261 7.091
0.000 -2.522 7.091
Hf Zn Rh
1 3 4
direct
0.000 0.000 0.000 Hf
0.249 0.249 0.249 Zn
0.500 0.500 0.500 Zn
0.751 0.751 0.751 Zn
0.126 0.126 0.126 Rh
0.377 0.377 0.377 Rh
0.623 0.623 0.623 Rh
0.874 0.874 0.874 Rh
```